(1)
Crystalline La2Sm8Dy at its relaxed geometry. Source: Alexandria, functional GGA-PBE.

abc: 5.1574 8.1527 9.6361
angles: 104.72 105.52 90.00
Atoms (fractional coordinates):
La  0.2269  0.6368  0.4537
La  0.7731  0.3632  0.5463
Sm  0.5894  0.4520  0.1788
Sm  0.3194  0.0924  0.6388
Sm  0.1348  0.1766  0.2695
Sm  0.0441  0.7284  0.0882
Sm  0.8652  0.8234  0.7305
Sm  0.6806  0.9076  0.3612
Sm  0.4106  0.5480  0.8212
Sm  0.9559  0.2716  0.9118
Dy  0.5000  0.0000  0.0000

## Properties
Crystal system: monoclinic
Calculated formation energy, meV/atom: 20
Polymorph energy (0 for the lowest one), meV per atom: 0

(2)
Crystalline CeLu2Pb at its relaxed geometry. Source: Alexandria, functional GGA-PBE.

abc: 5.3654 5.3654 5.3654
angles: 60.00 60.00 60.00
Atoms (fractional coordinates):
Pb  0.5000  0.5000  0.5000
Lu  0.2500  0.2500  0.2500
Lu  0.7500  0.7500  0.7500
Ce  0.0000  0.0000  0.0000

## Properties
Crystal system: cubic
Calculated formation energy, meV/atom: 0
Polymorph energy (0 for the lowest one), meV per atom: 219

(3)
Crystalline Sr2PdS at its relaxed geometry. Source: Alexandria, functional GGA-PBE.

abc: 7.6928 7.6928 7.0154
angles: 56.75 56.75 90.00
Atoms (fractional coordinates):
Sr  0.6110  0.1250  0.2500
Sr  0.1390  0.6250  0.2500
Sr  0.3750  0.3890  0.7500
Sr  0.8750  0.8610  0.7500
S  0.5000  0.5000  0.0000
S  0.2500  0.7500  0.5000
Pd  0.0000  0.0000  0.0000
Pd  0.7500  0.2500  0.5000

## Properties
ΔE_f (raw), kJ/mol of formula units: -391
Crystal system: tetragonal

(4)
Crystalline CsThMoN4 at its relaxed geometry. Source: Alexandria, functional GGA-PBE.

abc: 6.3344 6.1298 8.5006
angles: 90.00 106.76 90.00
Atoms (fractional coordinates):
Cs  0.7027  0.7500  0.9256
Cs  0.2973  0.2500  0.0744
Th  0.7933  0.7500  0.4484
Th  0.2067  0.2500  0.5516
Mo  0.2601  0.7500  0.3551
Mo  0.7399  0.2500  0.6449
N  0.9376  0.4831  0.6526
N  0.0624  0.9831  0.3474
N  0.0624  0.5169  0.3474
N  0.9376  0.0169  0.6526
N  0.4552  0.7500  0.2252
N  0.5448  0.2500  0.7748
N  0.4648  0.7500  0.5583
N  0.5352  0.2500  0.4417

## Properties
ΔE_f (raw), kJ/mol of formula units: -397
Crystal system: monoclinic

(5)
Crystalline Tb5Fe2Bi at its relaxed geometry. Source: Alexandria, functional GGA-PBE.

abc: 7.5780 7.5780 9.0034
angles: 114.89 114.89 90.00
Atoms (fractional coordinates):
Tb  0.5336  0.7012  0.7348
Tb  0.7988  0.9664  0.2652
Tb  0.0000  0.0000  0.0000
Tb  0.5000  0.5000  0.0000
Tb  0.2012  0.0336  0.7348
Tb  0.7012  0.2012  0.7348
Tb  0.0336  0.5336  0.7348
Tb  0.2988  0.7988  0.2652
Tb  0.9664  0.4664  0.2652
Tb  0.4664  0.2988  0.2652
Fe  0.1117  0.3883  0.0000
Fe  0.6117  0.1117  0.0000
Fe  0.3883  0.8883  0.0000
Fe  0.8883  0.6117  0.0000
Bi  0.7500  0.7500  0.5000
Bi  0.2500  0.2500  0.5000

## Properties
Crystal system: tetragonal
Calculated formation energy, meV/atom: -208

(6)
Crystalline Rb2DyPdCl6 at its relaxed geometry. Source: Alexandria, functional GGA-PBE.

abc: 7.6372 7.6396 10.2641
angles: 90.00 90.00 90.00
Atoms (fractional coordinates):
Rb  0.5000  0.7494  0.2501
Rb  0.0000  0.2506  0.7501
Rb  0.5000  0.7494  0.7499
Rb  0.0000  0.2506  0.2499
Dy  0.5000  0.2493  0.5000
Dy  0.0000  0.7507  0.0000
Pd  0.0000  0.7496  0.5000
Pd  0.5000  0.2504  0.0000
Cl  0.5000  0.2501  0.2430
Cl  0.5000  0.2501  0.7570
Cl  0.0000  0.7499  0.2570
Cl  0.0000  0.7499  0.7430
Cl  0.2569  0.0055  0.5000
Cl  0.7431  0.0055  0.5000
Cl  0.2563  0.4926  0.5000
Cl  0.7437  0.4926  0.5000
Cl  0.7563  0.5074  0.0000
Cl  0.2437  0.5074  0.0000
Cl  0.2431  0.9945  0.0000
Cl  0.7569  0.9945  0.0000

## Properties
ΔE_f (raw), kJ/mol of formula units: -1627
Crystal system: orthorhombic

(7)
Crystalline CeNdTl at its relaxed geometry. Source: Alexandria, functional GGA-PBE.

abc: 3.7626 3.7626 13.3384
angles: 98.11 98.11 90.00
Atoms (fractional coordinates):
Ce  0.2759  0.2759  0.5519
Ce  0.7241  0.7241  0.4481
Nd  0.5695  0.5695  0.1390
Nd  0.4305  0.4305  0.8610
Tl  0.1449  0.1449  0.2898
Tl  0.8551  0.8551  0.7102

## Properties
Crystal system: tetragonal
Calculated formation energy, meV/atom: -55
Polymorph energy (0 for the lowest one), meV per atom: 71

(8)
Crystalline URh4Pb at its relaxed geometry. Source: Alexandria, functional GGA-PBE.

abc: 5.3067 5.3067 5.3067
angles: 60.00 60.00 60.00
Atoms (fractional coordinates):
Pb  0.0000  0.0000  0.0000
Rh  0.6258  0.6258  0.1227
Rh  0.6258  0.1227  0.6258
Rh  0.6258  0.6258  0.6258
Rh  0.1227  0.6258  0.6258
U  0.2500  0.2500  0.2500

## Properties
Crystal system: cubic
Calculated formation energy, meV/atom: -278

(9)
Crystalline ScMnZnIr at its relaxed geometry. Source: Alexandria, functional GGA-PBE.

abc: 4.4893 4.4893 4.4893
angles: 60.00 60.00 60.00
Atoms (fractional coordinates):
Sc  0.0000  0.0000  0.0000
Zn  0.2500  0.2500  0.2500
Ir  0.7500  0.7500  0.7500
Mn  0.5000  0.5000  0.5000

## Properties
Crystal system: cubic
Calculated formation energy, meV/atom: -354

(10)
Crystalline KBe2Al at its relaxed geometry. Source: Alexandria, functional GGA-PBE.

abc: 5.4482 5.4482 2.6584
angles: 81.91 81.91 106.69
Atoms (fractional coordinates):
Be  0.0000  0.0000  0.0000
Be  0.5000  0.5000  0.0000
K  0.5000  0.0000  0.5000
Al  0.0000  0.5000  0.5000

## Properties
Crystal system: monoclinic
Calculated formation energy, meV/atom: 1052

(11)
Crystalline Na2CeTc2N4 at its relaxed geometry. Source: Alexandria, functional GGA-PBE.

abc: 3.4203 7.3007 8.6817
angles: 136.87 90.00 103.55
Atoms (fractional coordinates):
Na  0.8516  0.7032  0.4505
Na  0.1484  0.2968  0.5495
Ce  0.0000  0.0000  0.0000
Tc  0.3476  0.6953  0.0815
Tc  0.6524  0.3047  0.9185
N  0.7839  0.5679  0.8894
N  0.2161  0.4321  0.1106
N  0.5392  0.0784  0.2330
N  0.4608  0.9216  0.7670

## Properties
ΔE_f (raw), kJ/mol of formula units: -370
Crystal system: monoclinic

(12)
Crystalline ThAs2IrRh5 at its relaxed geometry. Source: Alexandria, functional GGA-PBE.

abc: 3.9656 3.9656 11.1242
angles: 90.00 90.00 90.00
Atoms (fractional coordinates):
Th  0.5000  0.5000  0.5000
As  0.0000  0.0000  0.7167
As  0.0000  0.0000  0.2833
Ir  0.0000  0.0000  0.0000
Rh  0.0000  0.0000  0.5000
Rh  0.0000  0.5000  0.8499
Rh  0.5000  0.0000  0.1501
Rh  0.0000  0.5000  0.1501
Rh  0.5000  0.0000  0.8499

## Properties
Crystal system: tetragonal
Calculated formation energy, meV/atom: -127

(13)
Crystalline Pm6ErMg at its relaxed geometry. Source: Alexandria, functional GGA-PBE.

abc: 8.5984 9.6131 6.4527
angles: 41.80 48.13 55.90
Atoms (fractional coordinates):
Pm  0.9467  0.5275  0.7658
Pm  0.7599  0.9464  0.8217
Pm  0.5274  0.2400  0.2865
Pm  0.2401  0.0536  0.1783
Pm  0.0533  0.4725  0.2342
Pm  0.4726  0.7600  0.7135
Er  0.5000  0.5000  0.5000
Mg  0.0000  0.0000  0.0000

## Properties
Crystal system: triclinic
Calculated formation energy, meV/atom: 100
Polymorph energy (0 for the lowest one), meV per atom: 95

(14)
Crystalline PuU2Ru3 at its relaxed geometry. Source: Alexandria, functional GGA-PBE.

abc: 5.8968 8.2330 7.1905
angles: 124.92 114.21 90.00
Atoms (fractional coordinates):
Pu  0.5003  0.2500  0.5000
Pu  0.4997  0.7500  0.5000
U  0.1666  0.9166  0.8332
U  0.1667  0.4166  0.8332
U  0.8333  0.5834  0.1668
U  0.8334  0.0834  0.1668
Ru  0.0000  0.7501  0.0000
Ru  0.0000  0.2499  0.0000
Ru  0.5000  0.7499  0.0000
Ru  0.0000  0.0000  0.5000
Ru  0.0000  0.5000  0.5000
Ru  0.5000  0.2501  0.0000

## Properties
Crystal system: hexagonal
Calculated formation energy, meV/atom: -106

(15)
Crystalline RbCrHg2 at its relaxed geometry. Source: Alexandria, functional GGA-PBE.

abc: 5.5426 5.5426 5.5426
angles: 60.00 60.00 60.00
Atoms (fractional coordinates):
Cr  0.0000  0.0000  0.0000
Hg  0.2500  0.2500  0.2500
Hg  0.7500  0.7500  0.7500
Rb  0.5000  0.5000  0.5000

## Properties
Crystal system: cubic
Calculated formation energy, meV/atom: 418
Polymorph energy (0 for the lowest one), meV per atom: 68

(16)
Crystalline RbIn4Bi at its relaxed geometry. Source: Alexandria, functional GGA-PBE.

abc: 6.4753 6.4753 6.4753
angles: 60.00 60.00 60.00
Atoms (fractional coordinates):
Bi  0.0000  0.0000  0.0000
Rb  0.2500  0.2500  0.2500
In  0.6259  0.6259  0.1222
In  0.6259  0.1222  0.6259
In  0.6259  0.6259  0.6259
In  0.1222  0.6259  0.6259

## Properties
Crystal system: cubic
Calculated formation energy, meV/atom: 1

(17)
Crystalline Ac2La6Os at its relaxed geometry. Source: Alexandria, functional GGA-PBE.

abc: 8.1339 7.7475 10.6474
angles: 90.00 89.67 90.00
Atoms (fractional coordinates):
Ac  0.9952  0.5000  0.7028
Ac  0.5048  0.0000  0.7972
Ac  0.4952  0.0000  0.2028
Ac  0.0048  0.5000  0.2972
La  0.9998  0.0000  0.2383
La  0.7195  0.7722  0.4964
La  0.7805  0.7279  0.0035
La  0.7195  0.2279  0.4965
La  0.7805  0.2722  0.0036
La  0.5002  0.5000  0.2617
La  0.0002  0.0000  0.7617
La  0.2805  0.2278  0.5036
La  0.2195  0.2721  0.9965
La  0.2805  0.7721  0.5035
La  0.2195  0.7278  0.9964
La  0.4998  0.5000  0.7383
Os  0.5000  0.5000  0.0000
Os  0.0000  0.0000  0.5000

## Properties
Crystal system: monoclinic
Calculated formation energy, meV/atom: -13

(18)
Crystalline CaAl4Tc at its relaxed geometry. Source: Alexandria, functional GGA-PBE.

abc: 5.2578 5.2578 5.2578
angles: 60.00 60.00 60.00
Atoms (fractional coordinates):
Ca  0.7500  0.7500  0.7500
Al  0.8777  0.3741  0.3741
Al  0.3741  0.3741  0.8777
Al  0.3741  0.8777  0.3741
Al  0.3741  0.3741  0.3741
Tc  0.0000  0.0000  0.0000

## Properties
Crystal system: cubic
Calculated formation energy, meV/atom: -102

(19)
Crystalline Cr2CuTc at its relaxed geometry. Source: Alexandria, functional GGA-PBE.

abc: 2.5396 2.5396 8.2988
angles: 90.00 90.00 108.83
Atoms (fractional coordinates):
Cr  0.0000  0.0000  0.0117
Cr  0.5000  0.5000  0.2395
Cu  0.0000  0.0000  0.4900
Tc  0.5000  0.5000  0.7588

## Properties
Crystal system: orthorhombic
Calculated formation energy, meV/atom: 193

(20)
Crystalline PaTi5Sb6 at its relaxed geometry. Source: Alexandria, functional GGA-PBE.

abc: 7.0205 6.9227 6.9990
angles: 60.36 80.34 70.17
Atoms (fractional coordinates):
Pa  0.0000  0.0000  0.0000
Ti  0.5000  0.1396  0.7207
Ti  0.0000  0.3164  0.3672
Ti  0.5000  0.5000  0.0000
Ti  0.0000  0.6836  0.6328
Ti  0.5000  0.8604  0.2793
Sb  0.7231  0.0949  0.3550
Sb  0.2769  0.5501  0.3550
Sb  0.2330  0.2873  0.0000
Sb  0.7670  0.7127  0.0000
Sb  0.7231  0.4499  0.6450
Sb  0.2769  0.9051  0.6450

## Properties
ΔE_f (raw), kJ/mol of formula units: -371
Crystal system: monoclinic

(21)
Crystalline KSr2CrAs at its relaxed geometry. Source: Alexandria, functional GGA-PBE.

abc: 5.9987 6.2702 5.9987
angles: 90.00 90.00 90.00
Atoms (fractional coordinates):
Sr  0.0000  0.0000  0.5000
Sr  0.5000  0.0000  0.0000
As  0.0000  0.0000  0.0000
K  0.0000  0.5000  0.0000
Cr  0.5000  0.5000  0.5000

## Properties
Crystal system: tetragonal
Calculated formation energy, meV/atom: 100

(22)
Crystalline AlSn2Pt2 at its relaxed geometry. Source: Alexandria, functional GGA-PBE.

abc: 6.9088 6.9088 4.1562
angles: 90.00 90.00 90.00
Atoms (fractional coordinates):
Sn  0.1617  0.6617  0.5000
Sn  0.6617  0.8383  0.5000
Sn  0.8383  0.3383  0.5000
Sn  0.3383  0.1617  0.5000
Pt  0.3488  0.8488  0.0000
Pt  0.8488  0.6512  0.0000
Pt  0.6512  0.1512  0.0000
Pt  0.1512  0.3488  0.0000
Al  0.0000  0.0000  0.0000
Al  0.5000  0.5000  0.0000

## Properties
Crystal system: tetragonal
Calculated formation energy, meV/atom: -343

(23)
Crystalline Tb5Pr4Y at its relaxed geometry. Source: Alexandria, functional GGA-PBE.

abc: 5.7691 10.8406 10.8273
angles: 90.00 90.00 90.00
Atoms (fractional coordinates):
Tb  0.1612  0.8389  0.8387
Tb  0.1612  0.1611  0.8387
Tb  0.9992  0.5000  0.0000
Tb  0.1612  0.8389  0.1613
Tb  0.1612  0.1611  0.1613
Tb  0.8388  0.6611  0.3387
Tb  0.8388  0.3389  0.3387
Tb  0.0008  0.0000  0.5000
Tb  0.8388  0.3389  0.6613
Tb  0.8388  0.6611  0.6613
Pr  0.6300  0.0000  0.7066
Pr  0.6300  0.7072  0.0000
Pr  0.6300  0.2928  0.0000
Pr  0.6300  0.0000  0.2934
Pr  0.3700  0.5000  0.2066
Pr  0.3700  0.7928  0.5000
Pr  0.3700  0.2072  0.5000
Pr  0.3700  0.5000  0.7934
Y  0.6252  0.0000  0.0000
Y  0.3748  0.5000  0.5000

## Properties
Crystal system: orthorhombic
Calculated formation energy, meV/atom: 190
Polymorph energy (0 for the lowest one), meV per atom: 85